# 1
First-principles (PBE-GGA) data for a relaxed Ni2AgBr crystal, as listed in Alexandria. Values from VASP.

Geometry as Quantum ESPRESSO input:
```
&SYSTEM
  ibrav = 0, nat = 8, ntyp = 3
/
ATOMIC_SPECIES
Ni 58.69 Ni.upf
Br 79.90 Br.upf
Ag 107.87 Ag.upf
CELL_PARAMETERS angstrom
5.623 0.000 0.000
0.000 5.623 0.000
2.811 2.811 5.471
ATOMIC_POSITIONS crystal
Ni 0.586 0.125 0.250
Ni 0.164 0.625 0.250
Ni 0.375 0.414 0.750
Ni 0.875 0.836 0.750
Br 0.500 0.500 0.000
Br 0.250 0.750 0.500
Ag 0.000 0.000 0.000
Ag 0.750 0.250 0.500
```

Calculated values
* formation energy without anion corrections: 0.7306 eV/atom
* SG: No. 122
* energy: -3.291 eV per atom



# 2
First-principles (PBE-GGA) data for a relaxed NiAgBr crystal, as listed in Alexandria. Values from VASP.

Geometry as Quantum ESPRESSO input:
```
&SYSTEM
  ibrav = 0, nat = 3, ntyp = 3
/
ATOMIC_SPECIES
Ni 58.69 Ni.upf
Ag 107.87 Ag.upf
Br 79.90 Br.upf
CELL_PARAMETERS angstrom
1.693 -2.933 0.000
1.693 2.933 0.000
0.000 0.000 5.931
ATOMIC_POSITIONS crystal
Ni 0.333 0.667 0.647
Ag 0.000 0.000 0.952
Br 0.667 0.333 0.401
```

Calculated values
* formation energy without anion corrections: 0.2487 eV/atom
* SG: No. 156
* energy: -3.186 eV per atom



# 3
First-principles (PBE-GGA) data for a relaxed NiAg3Br8 crystal, as listed in Alexandria. Values from VASP.

Geometry as Quantum ESPRESSO input:
```
&SYSTEM
  ibrav = 0, nat = 12, ntyp = 3
/
ATOMIC_SPECIES
Ni 58.69 Ni.upf
Ag 107.87 Ag.upf
Br 79.90 Br.upf
CELL_PARAMETERS angstrom
-6.611 -1.175 -3.412
6.155 3.306 -4.751
0.624 -7.098 1.235
ATOMIC_POSITIONS crystal
Ni 0.000 0.000 0.000
Ag 0.500 0.000 0.000
Ag 0.500 0.500 0.000
Ag 0.000 0.500 0.000
Br 0.259 0.518 0.758
Br 0.741 0.482 0.242
Br 0.226 0.001 0.763
Br 0.775 0.001 0.763
Br 0.795 0.590 0.790
Br 0.205 0.410 0.210
Br 0.225 0.999 0.237
Br 0.774 0.999 0.237
```

Calculated values
* formation energy without anion corrections: -0.2283 eV/atom
* SG: No. 12
* energy: -2.538 eV per atom



# 4
First-principles (PBE-GGA) data for a relaxed NiAg3Br crystal, as listed in Alexandria. Values from VASP.

Geometry as Quantum ESPRESSO input:
```
&SYSTEM
  ibrav = 0, nat = 5, ntyp = 3
/
ATOMIC_SPECIES
Ni 58.69 Ni.upf
Br 79.90 Br.upf
Ag 107.87 Ag.upf
CELL_PARAMETERS angstrom
-2.159 -2.603 -3.922
0.841 -4.459 2.496
-4.632 0.403 2.282
ATOMIC_POSITIONS crystal
Ni 0.500 0.500 0.500
Br 0.000 0.000 0.000
Ag 0.000 0.500 0.000
Ag 0.000 0.000 0.500
Ag 0.500 0.000 0.000
```

Calculated values
* formation energy without anion corrections: 1.1350 eV/atom
* SG: No. 221
* energy: -2.067 eV per atom



# 5
First-principles (PBE-GGA) data for a relaxed Ni2AgBr crystal, as listed in Alexandria. Values from VASP.

Geometry as Quantum ESPRESSO input:
```
&SYSTEM
  ibrav = 0, nat = 4, ntyp = 3
/
ATOMIC_SPECIES
Ag 107.87 Ag.upf
Br 79.90 Br.upf
Ni 58.69 Ni.upf
CELL_PARAMETERS angstrom
-0.685 4.579 -6.543
-3.687 4.534 -5.486
-1.599 6.599 -4.259
ATOMIC_POSITIONS crystal
Ag 0.514 0.514 0.514
Br 0.729 0.729 0.729
Ni 0.994 0.994 0.994
Ni 0.263 0.263 0.263
```

Calculated values
* formation energy without anion corrections: 0.3743 eV/atom
* SG: No. 160
* energy: -3.647 eV per atom



# 6
First-principles (PBE-GGA) data for a relaxed Ni2AgBr crystal, as listed in Alexandria. Values from VASP.

Geometry as Quantum ESPRESSO input:
```
&SYSTEM
  ibrav = 0, nat = 4, ntyp = 3
/
ATOMIC_SPECIES
Ag 107.87 Ag.upf
Br 79.90 Br.upf
Ni 58.69 Ni.upf
CELL_PARAMETERS angstrom
4.495 0.000 0.000
2.248 3.893 0.000
2.248 1.298 3.670
ATOMIC_POSITIONS crystal
Ag 0.500 0.500 0.500
Br 0.750 0.750 0.750
Ni 0.000 0.000 0.000
Ni 0.250 0.250 0.250
```

Calculated values
* formation energy without anion corrections: 0.7175 eV/atom
* SG: No. 216
* energy: -3.304 eV per atom



> Which value of formation energy without anion corrections does entry 6 give?

0.7175 eV/atom